Entry 1:
A plane-wave DFT calculation with GGA-PBE was carried out for a relaxed structure of Pb3S.

Summary:
- symmetry = No. 221
- volume (A^3/atom) = 28.27
- raw formation energy (kJ per mole of atoms) = 5.2
- crystal system = cubic

abc: 4.836 4.836 4.836
angles: 90.00 90.00 90.00
Fractional positions:
Pb: 0.000 0.000 0.500
Pb: 0.000 0.500 0.000
Pb: 0.500 0.000 0.000
S: 0.500 0.500 0.500

Entry 2:
A plane-wave DFT calculation with GGA-PBE was carried out for a relaxed structure of NaUAgCl6.

Summary:
- symmetry = No. 163
- volume (A^3/atom) = 28.75
- raw formation energy (kJ per mole of atoms) = -141.3
- crystal system = trigonal

abc: 6.815 6.815 12.867
angles: 90.00 90.00 120.00
Fractional positions:
Na: 0.000 0.000 0.000
Na: 0.000 0.000 0.500
U: 0.333 0.667 0.250
U: 0.667 0.333 0.750
Ag: 0.333 0.667 0.750
Ag: 0.667 0.333 0.250
Cl: 0.018 0.354 0.130
Cl: 0.018 0.663 0.370
Cl: 0.337 0.354 0.370
Cl: 0.337 0.982 0.130
Cl: 0.354 0.018 0.630
Cl: 0.354 0.337 0.870
Cl: 0.646 0.663 0.130
Cl: 0.646 0.982 0.370
Cl: 0.663 0.018 0.870
Cl: 0.663 0.646 0.630
Cl: 0.982 0.337 0.630
Cl: 0.982 0.646 0.870

Entry 3:
A plane-wave DFT calculation with GGA-PBE was carried out for a relaxed structure of Tm4ThGe4.

Summary:
- symmetry = No. 87
- volume (A^3/atom) = 27.13
- crystal system = tetragonal
- formation energy (kJ/mol of atoms) = -55

abc: 7.131 7.131 7.131
angles: 99.27 99.27 132.67
Fractional positions:
Tm: 0.104 0.311 0.414
Tm: 0.311 0.896 0.207
Tm: 0.689 0.104 0.793
Tm: 0.896 0.689 0.586
Th: 0.500 0.500 0.000
Ge: 0.199 0.608 0.807
Ge: 0.392 0.199 0.592
Ge: 0.608 0.801 0.408
Ge: 0.801 0.392 0.193

Entry 4:
A plane-wave DFT calculation with GGA-PBE was carried out for a relaxed structure of GdCuS2.

Summary:
- symmetry = No. 14
- volume (A^3/atom) = 19.12
- raw formation energy (kJ per mole of atoms) = -134.3
- crystal system = monoclinic

abc: 6.418 7.070 6.798
angles: 90.00 97.36 90.00
Fractional positions:
Gd: 0.192 0.050 0.301
Gd: 0.192 0.450 0.801
Gd: 0.808 0.550 0.199
Gd: 0.808 0.950 0.699
Cu: 0.421 0.662 0.452
Cu: 0.421 0.838 0.952
Cu: 0.579 0.162 0.048
Cu: 0.579 0.338 0.548
S: 0.078 0.727 0.498
S: 0.078 0.773 0.998
S: 0.410 0.114 0.720
S: 0.410 0.386 0.220
S: 0.590 0.614 0.780
S: 0.590 0.886 0.280
S: 0.922 0.227 0.002
S: 0.922 0.273 0.502

Question: What is the volume in the third record?
Answer: 27.13 A^3/atom